A plane-wave DFT calculation with GGA-PBE was carried out for InHgRh2 after structural relaxation.

a = 10.172 Å, b = 3.048 Å, c = 4.742 Å
α = 90.00°, β = 108.03°, γ = 90.00°
Fractional positions:
1 In 0.000 0.000 0.000
2 In 0.500 0.500 0.000
3 Hg 0.277 0.500 0.394
4 Hg 0.777 0.000 0.394
5 Rh 0.026 0.500 0.510
6 Rh 0.253 0.000 0.884
7 Rh 0.526 0.000 0.510
8 Rh 0.753 0.500 0.884

Computed properties:
Total energy, eV per atom: -4.479
ΔE_f, meV/atom: -43
Space group: No. 8
Calculated volume, A^3/atom: 17.48
M_tot, μB/cell: 0.01

A plane-wave DFT calculation with GGA-PBE was carried out for ZnNi5 after structural relaxation.

a = 4.108 Å, b = 2.526 Å, c = 13.024 Å
α = 90.00°, β = 90.00°, γ = 90.00°
Fractional positions:
1 Zn 0.000 0.000 0.000
2 Zn 0.000 0.500 0.500
3 Ni 0.000 0.000 0.331
4 Ni 0.000 0.000 0.668
5 Ni 0.000 0.500 0.168
6 Ni 0.000 0.500 0.831
7 Ni 0.500 0.000 0.114
8 Ni 0.500 0.000 0.443
9 Ni 0.500 0.000 0.779
10 Ni 0.500 0.500 0.279
11 Ni 0.500 0.500 0.614
12 Ni 0.500 0.500 0.943

Computed properties:
Total energy, eV per atom: -5.071
ΔE_f, meV/atom: -41
Space group: No. 38
Calculated volume, A^3/atom: 11.26
M_tot, μB/cell: 3.94

A plane-wave DFT calculation with GGA-PBE was carried out for BaCdNiAu2 after structural relaxation.

a = 5.093 Å, b = 5.093 Å, c = 4.922 Å
α = 90.00°, β = 90.00°, γ = 90.00°
Fractional positions:
1 Ba 0.000 0.000 0.000
2 Cd 0.500 0.500 0.000
3 Ni 0.500 0.500 0.500
4 Au 0.000 0.500 0.500
5 Au 0.500 0.000 0.500

Computed properties:
Total energy, eV per atom: -3.293
ΔE_f, meV/atom: -258
Space group: No. 123
Calculated volume, A^3/atom: 25.54
M_tot, μB/cell: 0.00